Record 1
# TbTm2Tl3Te6, optimized geometry, DFT PBE-GGA
data_TbTm2Tl3Te6
_space_group_name_H-M_alt 'C 1 2/m 1'
_space_group_IT_number 12
_cell_length_a 7.6703
_cell_length_b 13.2855
_cell_length_c 8.5784
_cell_angle_alpha 90.00
_cell_angle_beta 107.34
_cell_angle_gamma 90.00
loop_
_space_group_symop_operation_xyz
'x,y,z'
'-x,-y,-z'
'-x,y,-z'
'x,-y,z'
'x+1/2,y+1/2,z'
'-x+1/2,-y+1/2,-z'
'-x+1/2,y+1/2,-z'
'x+1/2,-y+1/2,z'
loop_
_atom_site_label
_atom_site_type_symbol
_atom_site_fract_x
_atom_site_fract_y
_atom_site_fract_z
_atom_site_occupancy
Tb1 Tb 0.0000 0.0000 0.0000 1
Tm1 Tm 0.0000 0.3332 0.0000 1
Tl1 Tl 0.0000 0.1656 0.5000 1
Tl2 Tl 0.0000 0.5000 0.5000 1
Te1 Te 0.2330 0.5000 0.2109 1
Te2 Te 0.2393 0.1686 0.2118 1
# E_tot   -4.332 eV/atom
# Raw formation energy   -1.0382 eV/atom

=====

Record 2
# Pr3Nd2Y, optimized geometry, DFT PBE-GGA
data_Pr3Nd2Y
_space_group_name_H-M_alt 'C 1 2/m 1'
_space_group_IT_number 12
_cell_length_a 13.5844
_cell_length_b 3.6017
_cell_length_c 17.9779
_cell_angle_alpha 90.00
_cell_angle_beta 102.16
_cell_angle_gamma 90.00
loop_
_space_group_symop_operation_xyz
'x,y,z'
'-x,-y,-z'
'-x,y,-z'
'x,-y,z'
'x+1/2,y+1/2,z'
'-x+1/2,-y+1/2,-z'
'-x+1/2,y+1/2,-z'
'x+1/2,-y+1/2,z'
loop_
_atom_site_label
_atom_site_type_symbol
_atom_site_fract_x
_atom_site_fract_y
_atom_site_fract_z
_atom_site_occupancy
Pr1 Pr 0.0625 0.0000 0.1670 1
Pr2 Pr 0.1259 0.5000 0.9917 1
Pr3 Pr 0.2287 0.5000 0.3350 1
Nd1 Nd 0.1313 0.5000 0.5006 1
Nd2 Nd 0.1987 0.0000 0.8357 1
Y1 Y 0.0425 0.5000 0.6800 1
# E_tot   -4.955 eV/atom
# ΔE_f   0.101 eV/atom
# ΔE to the lowest computed polymorph   0.090 eV per atom

=====

Record 3
# AlCuTc2, optimized geometry, DFT PBE-GGA
data_AlCuTc2
_space_group_name_H-M_alt 'P 1 2/m 1'
_space_group_IT_number 10
_cell_length_a 2.6485
_cell_length_b 4.2622
_cell_length_c 5.1151
_cell_angle_alpha 90.00
_cell_angle_beta 103.17
_cell_angle_gamma 90.00
loop_
_space_group_symop_operation_xyz
'x,y,z'
'-x,-y,-z'
'-x,y,-z'
'x,-y,z'
loop_
_atom_site_label
_atom_site_type_symbol
_atom_site_fract_x
_atom_site_fract_y
_atom_site_fract_z
_atom_site_occupancy
Al1 Al 0.0000 0.0000 0.0000 1
Cu1 Cu 0.5000 0.0000 0.5000 1
Tc1 Tc 0.2561 0.5000 0.7492 1
# E_tot   -7.105 eV/atom
# ΔE_f   0.038 eV/atom

=====

Record 4
# Tm2Ga6Co9, optimized geometry, DFT PBE-GGA
data_Tm2Ga6Co9
_space_group_name_H-M_alt 'P 6/m m m'
_space_group_IT_number 191
_space_group_name_Hall '-P 6 2'
_cell_length_a 5.0810
_cell_length_b 5.0810
_cell_length_c 11.6831
_cell_angle_alpha 90.00
_cell_angle_beta 90.00
_cell_angle_gamma 120.00
loop_
_atom_site_label
_atom_site_type_symbol
_atom_site_fract_x
_atom_site_fract_y
_atom_site_fract_z
_atom_site_occupancy
Tm1 Tm 0.0000 0.0000 0.1627 1
Ga1 Ga 0.3333 0.6667 0.1633 1
Ga2 Ga 0.3333 0.6667 0.5000 1
Co1 Co 0.0000 0.5000 0.0000 1
Co2 Co 0.0000 0.5000 0.3299 1
# E_tot   -5.506 eV/atom
# ΔE_f   -0.150 eV/atom

=====

Record 5
# Be3SO, optimized geometry, DFT PBE-GGA
data_Be3SO
_space_group_name_H-M_alt 'P m -3 m'
_space_group_IT_number 221
_space_group_name_Hall '-P 4 2 3'
_cell_length_a 3.9421
_cell_length_b 3.9421
_cell_length_c 3.9421
_cell_angle_alpha 90.00
_cell_angle_beta 90.00
_cell_angle_gamma 90.00
loop_
_atom_site_label
_atom_site_type_symbol
_atom_site_fract_x
_atom_site_fract_y
_atom_site_fract_z
_atom_site_occupancy
Be1 Be 0.0000 0.0000 0.5000 1
S1 S 0.0000 0.0000 0.0000 1
O1 O 0.5000 0.5000 0.5000 1
# E_tot   -3.261 eV/atom
# Raw formation energy   0.7920 eV/atom
# ΔE to the lowest computed polymorph   0.923 eV per atom

=====

Record 6
# ScMnSbI2, optimized geometry, DFT PBE-GGA
data_ScMnSbI2
_space_group_name_H-M_alt 'P 4/m m m'
_space_group_IT_number 123
_space_group_name_Hall '-P 4 2'
_cell_length_a 5.5875
_cell_length_b 5.5875
_cell_length_c 5.8413
_cell_angle_alpha 90.00
_cell_angle_beta 90.00
_cell_angle_gamma 90.00
loop_
_atom_site_label
_atom_site_type_symbol
_atom_site_fract_x
_atom_site_fract_y
_atom_site_fract_z
_atom_site_occupancy
Sc1 Sc 0.0000 0.0000 0.0000 1
Mn1 Mn 0.5000 0.5000 0.5000 1
Sb1 Sb 0.0000 0.0000 0.5000 1
I1 I 0.0000 0.5000 0.0000 1
# E_tot   -4.435 eV/atom
# Raw formation energy   0.1095 eV/atom
# ΔE to the lowest computed polymorph   0.000 eV per atom